Pm2NdSm9 | Alexandria | PBE | relaxed; ΔE to the lowest computed polymorph = 0.0 kJ/mol of atoms; SG = P4/mmm; calculated total energy = -4.712 eV/atom; formation enthalpy at 0 K = 19 kJ/mol of formula units
1.0
-1.1947 4.9620 0.6000
-1.6867 0.1805 -4.8509
-14.1110 -3.9728 4.7585
Sm Nd Pm
9 1 2
direct
0.0000 0.5000 0.8329
0.5000 0.5000 0.6664
0.5000 0.0000 0.8329
0.5000 0.5000 0.0000
0.5000 0.5000 0.3336
0.5000 0.0000 0.5000
0.0000 0.5000 0.5000
0.0000 0.5000 0.1671
0.5000 0.0000 0.1671
0.0000 0.0000 0.0000
0.0000 0.0000 0.6664
0.0000 0.0000 0.3336

***

Pm12Nd5Sm | Alexandria | PBE | relaxed; SG = C2/m; calculated total energy = -4.655 eV/atom; formation enthalpy at 0 K = 172 kJ/mol of formula units
1.0
11.5813 -0.0001 0.0060
5.7906 8.8872 0.0030
-0.0027 0.0000 6.0832
Pm Sm Nd
12 1 5
direct
0.3226 0.0000 0.0516
0.9898 0.6674 0.0496
0.6572 0.3326 0.0496
0.3428 0.6674 0.9504
0.8235 0.0000 0.4481
0.1566 0.3332 0.4504
0.4899 0.6668 0.4504
0.1765 0.0000 0.5519
0.8434 0.6668 0.5496
0.0102 0.3326 0.9504
0.6774 0.0000 0.9484
0.5101 0.3332 0.5496
0.0000 0.0000 0.0000
0.1663 0.6675 0.5000
0.5000 0.0000 0.5000
0.6667 0.6667 0.0000
0.3333 0.3333 0.0000
0.8337 0.3325 0.5000

***

Pm4Nd3Sm4 | Alexandria | PBE | relaxed; ΔE to the lowest computed polymorph = 0.0 kJ/mol of atoms; SG = Amm2; calculated total energy = -4.597 eV/atom; formation enthalpy at 0 K = 156 kJ/mol of formula units
1.0
5.8195 0.0000 0.0000
-2.9098 6.0985 0.0000
0.0000 0.0000 10.8490
Pm Sm Nd
4 4 3
direct
0.7537 0.5074 0.7893
0.9583 0.9165 0.0000
0.8889 0.7779 0.5000
0.7537 0.5074 0.2107
0.1033 0.2066 0.7021
0.1033 0.2066 0.2979
0.5528 0.1056 0.0000
0.6165 0.2331 0.5000
0.4066 0.8133 0.7041
0.2546 0.5092 0.0000
0.4066 0.8133 0.2959

***

Pm5Nd2Sm3 | Alexandria | PBE | relaxed; ΔE to the lowest computed polymorph = 17.1 kJ/mol of atoms; SG = Ibam; calculated total energy = -4.386 eV/atom; formation enthalpy at 0 K = 346 kJ/mol of formula units
1.0
6.9416 0.0000 0.0000
3.4708 11.7020 2.9183
3.4708 5.9190 10.5080
Sm Pm Nd
6 10 4
direct
0.7500 0.0000 0.0000
0.2500 0.0000 0.0000
0.8759 0.8745 0.3736
0.3759 0.3736 0.8745
0.1241 0.1255 0.6264
0.6241 0.6264 0.1255
0.0012 0.2488 0.2488
0.4988 0.7512 0.7512
0.7500 0.5000 0.5000
0.6265 0.2798 0.4673
0.9988 0.7512 0.7512
0.1265 0.4673 0.2798
0.5012 0.2488 0.2488
0.2500 0.5000 0.5000
0.8735 0.5327 0.7202
0.3735 0.7202 0.5327
0.8768 0.2218 0.0247
0.3768 0.0247 0.2218
0.1232 0.7782 0.9753
0.6232 0.9753 0.7782

***

Pm9Nd2Sm | Alexandria | PBE | relaxed; ΔE to the lowest computed polymorph = 0.0 kJ/mol of atoms; SG = P4/mmm; calculated total energy = -4.736 eV/atom; formation enthalpy at 0 K = 17 kJ/mol of formula units
1.0
5.1630 0.0000 0.0000
0.0000 5.1630 0.0000
0.0000 0.0000 15.4881
Nd Sm Pm
2 1 9
direct
0.0000 0.0000 0.6672
0.0000 0.0000 0.3328
0.0000 0.0000 0.0000
0.0000 0.5000 0.5000
0.0000 0.5000 0.1659
0.5000 0.5000 0.3328
0.5000 0.0000 0.1659
0.5000 0.5000 0.0000
0.5000 0.5000 0.6672
0.5000 0.0000 0.5000
0.0000 0.5000 0.8341
0.5000 0.0000 0.8341

***

Pm2Nd3Sm2 | Alexandria | PBE | relaxed; ΔE to the lowest computed polymorph = 6.2 kJ/mol of atoms; SG = C2/m; calculated total energy = -4.647 eV/atom; formation enthalpy at 0 K = 69 kJ/mol of formula units
1.0
-2.1443 -2.5056 1.3435
7.0143 -4.5449 2.7193
-2.5410 7.2829 4.8075
Nd Pm Sm
3 2 2
direct
0.2132 0.8020 0.4265
0.0000 0.5000 0.0000
0.7868 0.1980 0.5735
0.8535 0.6708 0.7071
0.1465 0.3292 0.2929
0.4355 0.0921 0.8709
0.5645 0.9079 0.1291